Compound: NiHPd2
Source: Alexandria via LeMat-Bulk
Functional: PBE-GGA
Structure: relaxed

It has space group Immm (No. 71), with a = 2.844 Å, b = 3.692 Å, c = 8.519 Å, α = 90.00°, β = 90.00° and γ = 90.00°. The inequivalent atoms are Ni at (0.000, 0.000, 0.000), H at (0.000, 0.500, 0.000) and Pd at (0.000, 0.000, 0.337).

The value obtained for the energy above the most stable polymorph in this dataset is 0.00 eV/f.u.

=====

Compound: Pm12PrNi6
Source: Alexandria via LeMat-Bulk
Functional: PBE-GGA
Structure: relaxed

It has space group Im-3 (No. 204), with a = 10.104 Å, b = 10.104 Å, c = 10.104 Å, α = 90.00°, β = 90.00° and γ = 90.00°. The inequivalent atoms are Pm at (0.000, 0.312, 0.185), Pr at (0.000, 0.000, 0.000) and Ni at (0.000, 0.122, 0.500).

The formation energy comes out at -187 meV/atom. The value obtained for the energy above the most stable polymorph in this dataset is 0.00 eV/f.u.

=====

Compound: Li2PIr
Source: Alexandria via LeMat-Bulk
Functional: PBE-GGA
Structure: relaxed

It has space group P2/m (No. 10), with a = 2.852 Å, b = 4.012 Å, c = 4.644 Å, α = 90.00°, β = 90.71° and γ = 90.00°. The inequivalent atoms are Li at (0.006, 0.000, 0.246), P at (0.500, 0.500, 0.500) and Ir at (0.500, 0.500, 0.000).

The formation energy comes out at -352 meV/atom.

=====

Compound: YHo12Tm6
Source: Alexandria via LeMat-Bulk
Functional: PBE-GGA
Structure: relaxed

It has space group R-3 (No. 148, hexagonal axes), with a = 11.7580 Å, b = 11.7580 Å, c = 15.0993 Å, α = 90.00°, β = 90.00° and γ = 120.00°. The inequivalent atoms are Y at (0.0000, 0.0000, 0.0000), Ho at (0.0157, 0.8339, 0.1914), Ho at (0.0408, 0.8505, 0.4158) and Tm at (0.0101, 0.4233, 0.6799).

The formation energy comes out at 162 meV/atom. The value obtained for the energy above the most stable polymorph in this dataset is 0.00 eV/f.u.

=====

Quick rundown of E_tot, same order as above: -38.92; -200.04; -19.51; -255.44 eV/cell